# LaNiP, relaxed, DFT PBE
data_LaNiP
_symmetry_space_group_name_H-M 'P -6 2 m'
_symmetry_Int_Tables_number 189
_symmetry_space_group_name_Hall 'P -6 -2'
_cell_length_a 7.0851
_cell_length_b 7.0851
_cell_length_c 4.0783
_cell_angle_alpha 90.00
_cell_angle_beta 90.00
_cell_angle_gamma 120.00
loop_
_atom_site_label
_atom_site_type_symbol
_atom_site_fract_x
_atom_site_fract_y
_atom_site_fract_z
La1 La 0.0000 0.6338 0.0000
Ni1 Ni 0.0000 0.0000 0.0000
Ni2 Ni 0.3333 0.6667 0.5000
P1 P 0.0000 0.3171 0.5000
# Formation energy ... -773 meV/atom

---

# CdSiN2, relaxed, DFT PBE
data_CdSiN2
_symmetry_space_group_name_H-M 'R -3 m'
_symmetry_Int_Tables_number 166
_symmetry_space_group_name_Hall '-R 3 2"'
_cell_length_a 3.6328
_cell_length_b 3.6328
_cell_length_c 16.7813
_cell_angle_alpha 90.00
_cell_angle_beta 90.00
_cell_angle_gamma 120.00
loop_
_atom_site_label
_atom_site_type_symbol
_atom_site_fract_x
_atom_site_fract_y
_atom_site_fract_z
Cd1 Cd 0.0000 0.0000 0.0000
Si1 Si 0.0000 0.0000 0.5000
N1 N 0.0000 0.0000 0.4038
# Formation energy (no corrections) ... 1.81 eV/f.u.

---

# EuHo3, relaxed, DFT PBE
data_EuHo3
_symmetry_space_group_name_H-M 'P m m 2'
_symmetry_Int_Tables_number 25
_cell_length_a 3.617
_cell_length_b 5.771
_cell_length_c 6.326
_cell_angle_alpha 90.00
_cell_angle_beta 90.00
_cell_angle_gamma 90.00
loop_
_symmetry_equiv_pos_as_xyz
'x,y,z'
'-x,-y,z'
'-x,y,z'
'x,-y,z'
loop_
_atom_site_label
_atom_site_type_symbol
_atom_site_fract_x
_atom_site_fract_y
_atom_site_fract_z
Eu1 Eu 0.000 0.000 0.000
Ho1 Ho 0.000 0.500 0.662
Ho2 Ho 0.500 0.000 0.498
Ho3 Ho 0.500 0.500 0.176
# Energy above the lowest structure with this stoichiometry ... 4 meV per atom
# Formation energy ... 74 meV/atom

---

# SrGa2Pt2, relaxed, DFT PBE
data_SrGa2Pt2
_symmetry_space_group_name_H-M 'I 4/m m m'
_symmetry_Int_Tables_number 139
_symmetry_space_group_name_Hall '-I 4 2'
_cell_length_a 4.426
_cell_length_b 4.426
_cell_length_c 10.438
_cell_angle_alpha 90.00
_cell_angle_beta 90.00
_cell_angle_gamma 90.00
loop_
_atom_site_label
_atom_site_type_symbol
_atom_site_fract_x
_atom_site_fract_y
_atom_site_fract_z
Sr1 Sr 0.000 0.000 0.000
Ga1 Ga 0.000 0.000 0.370
Pt1 Pt 0.000 0.500 0.250
# Formation energy ... -797 meV/atom

---

| no. | E (eV/cell) | D(E_F) (states/eV/f.u.) |
| --- | --- | --- |
| 1 | -55.31 | 1.7 |
| 2 | -63.54 | 0.2 |
| 3 | -23.71 | 6.5 |
| 4 | -47.61 | 3.3 |